# RbMnSbF6

A relaxed structure of RbMnSbF6 (GGA+U, Alexandria).

The structure belongs to space group P1 (No. 1); the cell edges are 5.421, 5.989 and 6.000 Å and the angles 60.07°, 89.91° and 89.89°. Symmetry generates all atoms from Rb at (0.000, 0.000, 0.000), Mn at (0.550, 0.333, 0.333), Sb at (0.500, 0.667, 0.667), F at (0.360, 0.041, 0.649), F at (0.361, 0.310, 0.040), F at (0.362, 0.651, 0.310), F at (0.748, 0.433, 0.600), F at (0.748, 0.600, 0.966) and F at (0.748, 0.966, 0.434).

The value obtained for the density of states at the Fermi level is 0.0000 states/eV/atom. Its final energy is -5.2094 eV per atom.